# 1
ZnCl: optimized geometry, GGA-PBE.

Unit cell a=4.8827 b=4.8827 c=4.8827 alpha=60.00 beta=60.00 gamma=60.00
Last column: nearest neighbours and their distance in Å.
Fractional coordinates of all 4 atoms:
Zn 0.2500 0.2500 0.2500  4 Zn 2.99, 4 Cl 2.99
Cl 0.7500 0.7500 0.7500  4 Cl 2.99, 4 Zn 2.99
Zn 0.5000 0.5000 0.5000  4 Cl 2.99, 4 Zn 2.99
Cl 0.0000 0.0000 0.0000  4 Zn 2.99, 4 Cl 2.99

As for the space-group type: Fd-3m, No. 227. The calculation puts the calculated volume at 20.58 Å³ per atom. The value obtained for the uncorrected formation energy is 0.11 eV/atom.

# 2
ZnCl: optimized geometry, GGA-PBE.

Unit cell a=4.3551 b=4.3551 c=4.3551 alpha=60.00 beta=60.00 gamma=60.00
Last column: nearest neighbours and their distance in Å.
Fractional coordinates of all 2 atoms:
Zn 0.7500 0.7500 0.7500  4 Cl 2.67
Cl 0.0000 0.0000 0.0000  4 Zn 2.67

As for the space-group type: F-43m, No. 216. The calculation puts the calculated volume at 29.20 Å³ per atom. The value obtained for the uncorrected formation energy is -0.19 eV/atom.

# 3
Zn3Cl: optimized geometry, GGA-PBE.

Unit cell a=3.1039 b=3.1039 c=7.3069 alpha=90.00 beta=90.00 gamma=90.00
Last column: nearest neighbours and their distance in Å.
Fractional coordinates of all 4 atoms:
Zn 0.5000 0.5000 0.7290  4 Zn 2.76, 4 Cl 2.96
Zn 0.0000 0.0000 0.5000  8 Zn 2.76
Zn 0.5000 0.5000 0.2710  4 Zn 2.76, 4 Cl 2.96
Cl 0.0000 0.0000 0.0000  8 Zn 2.96, 4 Cl 3.10

As for the space-group type: P4/mmm, No. 123. The calculation puts the calculated volume at 17.60 Å³ per atom. The value obtained for the uncorrected formation energy is -0.06 eV/atom.

# 4
Zn2Cl: optimized geometry, GGA-PBE.

Unit cell a=5.4534 b=5.4534 c=5.4534 alpha=60.00 beta=60.00 gamma=60.00
Last column: nearest neighbours and their distance in Å.
Fractional coordinates of all 6 atoms:
Zn 0.1250 0.1250 0.1250  6 Zn 2.73
Cl 0.7500 0.7500 0.7500  12 Zn 3.20, 4 Cl 3.34
Zn 0.6250 0.1250 0.1250  6 Zn 2.73
Zn 0.1250 0.6250 0.1250  6 Zn 2.73
Cl 0.5000 0.5000 0.5000  12 Zn 3.20, 4 Cl 3.34
Zn 0.1250 0.1250 0.6250  6 Zn 2.73

As for the space-group type: Fd-3m, No. 227. The calculation puts the calculated volume at 19.11 Å³ per atom. The value obtained for the uncorrected formation energy is 0.00 eV/atom.

# 5
ZnCl4: optimized geometry, GGA-PBE.

Unit cell a=5.3195 b=5.3195 c=5.3195 alpha=109.47 beta=109.47 gamma=109.47
Last column: nearest neighbours and their distance in Å.
Fractional coordinates of all 5 atoms:
Zn 0.0000 0.0000 0.0000  8 Cl 2.66
Cl 0.0000 0.5000 0.0000  2 Zn 2.66
Cl 0.5000 0.0000 0.0000  2 Zn 2.66
Cl 0.0000 0.0000 0.5000  2 Zn 2.66
Cl 0.5000 0.5000 0.5000  2 Zn 2.66

As for the space-group type: Im-3m, No. 229. The calculation puts the calculated volume at 23.17 Å³ per atom. The value obtained for the uncorrected formation energy is -0.03 eV/atom.

# 6
Zn3Cl: optimized geometry, GGA-PBE.

Unit cell a=4.3000 b=4.3000 c=4.3000 alpha=90.00 beta=90.00 gamma=90.00
Last column: nearest neighbours and their distance in Å.
Fractional coordinates of all 4 atoms:
Cl 0.0000 0.0000 0.0000  12 Zn 3.04
Zn 0.5000 0.5000 0.0000  4 Cl 3.04, 8 Zn 3.04
Zn 0.0000 0.5000 0.5000  4 Cl 3.04, 8 Zn 3.04
Zn 0.5000 0.0000 0.5000  4 Cl 3.04, 8 Zn 3.04

As for the space-group type: Pm-3m, No. 221. The calculation puts the calculated volume at 19.88 Å³ per atom. The value obtained for the uncorrected formation energy is 0.17 eV/atom.

# 7
Zn2Cl: optimized geometry, GGA-PBE.

Unit cell a=6.0786 b=6.0786 c=6.1038 alpha=90.00 beta=90.00 gamma=146.49
Last column: nearest neighbours and their distance in Å.
Fractional coordinates of all 6 atoms:
Zn 0.7916 0.2084 0.2500  2 Zn 2.53, 2 Cl 2.60
Cl 0.5432 0.4568 0.7500  4 Zn 2.60-2.71
Zn 0.2084 0.7916 0.7500  2 Zn 2.53, 2 Cl 2.60
Cl 0.4568 0.5432 0.2500  4 Zn 2.60-2.71
Zn 0.1343 0.8657 0.2500  2 Zn 2.53, 2 Cl 2.71
Zn 0.8657 0.1343 0.7500  2 Zn 2.53, 2 Cl 2.71

As for the space-group type: Cmcm, No. 63. The calculation puts the calculated volume at 20.75 Å³ per atom. The value obtained for the uncorrected formation energy is -0.15 eV/atom.

# 8
ZnCl4: optimized geometry, GGA-PBE.

Unit cell a=6.2336 b=7.5330 c=9.3803 alpha=93.49 beta=98.47 gamma=65.56
Last column: nearest neighbours and their distance in Å.
Fractional coordinates of all 10 atoms:
Cl 0.8082 0.0000 0.0707  1 Cl 2.00
Zn 0.2477 0.5047 0.5000  4 Cl 2.31-2.32
Cl 0.6891 0.0000 0.2578  1 Cl 2.00
Zn 0.7523 0.4953 0.5000  4 Cl 2.31-2.32
Cl 0.0622 0.3236 0.3698  2 Zn 2.31-2.32
Cl 0.9378 0.6764 0.6302  2 Zn 2.31-2.32
Cl 0.1918 0.0000 0.9293  1 Cl 2.00
Cl 0.3109 0.0000 0.7422  1 Cl 2.00
Cl 0.6142 0.3236 0.6302  2 Zn 2.31-2.32
Cl 0.3858 0.6764 0.3698  2 Zn 2.31-2.32

As for the space-group type: C2/m, No. 12. The calculation puts the calculated volume at 39.66 Å³ per atom. The value obtained for the uncorrected formation energy is -0.66 eV/atom.

# 9
ZnCl: optimized geometry, GGA-PBE.

Unit cell a=8.9329 b=8.9329 c=8.9329 alpha=22.47 beta=22.47 gamma=22.47
Last column: nearest neighbours and their distance in Å.
Fractional coordinates of all 4 atoms:
Cl 0.9671 0.9671 0.9671  3 Zn 2.47
Cl 0.7829 0.7829 0.7829  3 Zn 2.47
Zn 0.2453 0.2453 0.2453  3 Cl 2.47
Zn 0.5047 0.5047 0.5047  3 Cl 2.47

As for the space-group type: R-3m, No. 166. The calculation puts the calculated volume at 22.83 Å³ per atom. The value obtained for the uncorrected formation energy is -0.66 eV/atom.

# 10
Zn3Cl: optimized geometry, GGA-PBE.

Unit cell a=5.2987 b=5.2987 c=5.2987 alpha=142.91 beta=113.11 gamma=79.03
Last column: nearest neighbours and their distance in Å.
Fractional coordinates of all 4 atoms:
Zn 0.7587 0.7587 0.0000  2 Zn 2.59, 2 Cl 2.70
Zn 0.0000 0.5000 0.5000  4 Zn 2.59
Zn 0.2413 0.2413 0.0000  2 Zn 2.59, 2 Cl 2.70
Cl 0.5000 0.0000 0.5000  4 Zn 2.70

As for the space-group type: Immm, No. 71. The calculation puts the calculated volume at 20.12 Å³ per atom. The value obtained for the uncorrected formation energy is -0.02 eV/atom.

# 11
ZnCl: optimized geometry, GGA-PBE.

Unit cell a=3.1816 b=3.1816 c=8.5017 alpha=90.00 beta=90.00 gamma=90.00
Last column: nearest neighbours and their distance in Å.
Fractional coordinates of all 4 atoms:
Cl 0.0000 0.0000 0.9141  4 Zn 2.66
Cl 0.5000 0.5000 0.3359  4 Zn 2.66
Zn 0.0000 0.0000 0.5021  4 Cl 2.66
Zn 0.5000 0.5000 0.7479  4 Cl 2.66

As for the space-group type: P4/nmm, No. 129. The calculation puts the calculated volume at 21.51 Å³ per atom. The value obtained for the uncorrected formation energy is -0.32 eV/atom.

# 12
Zn2Cl: optimized geometry, GGA-PBE.

Unit cell a=5.7065 b=5.7065 c=4.9937 alpha=90.00 beta=90.00 gamma=120.00
Last column: nearest neighbours and their distance in Å.
Fractional coordinates of all 6 atoms:
Cl 0.3333 0.6667 0.7500  2 Zn 2.50
Zn 0.0000 0.0000 0.5000  2 Zn 2.50
Zn 0.3333 0.6667 0.2500  2 Cl 2.50
Cl 0.6667 0.3333 0.2500  2 Zn 2.50
Zn 0.0000 0.0000 0.0000  2 Zn 2.50
Zn 0.6667 0.3333 0.7500  2 Cl 2.50

As for the space-group type: P6_3/mmc, No. 194. The calculation puts the calculated volume at 23.47 Å³ per atom. The value obtained for the uncorrected formation energy is -0.02 eV/atom.

Number 1: calculated total energy -0.106 Ry/atom. Number 2: calculated total energy -0.129 Ry/atom. Number 3: calculated total energy -0.108 Ry/atom. Number 4: calculated total energy -0.107 Ry/atom. Number 5: calculated total energy -0.130 Ry/atom. Number 6: calculated total energy -0.092 Ry/atom. Number 7: calculated total energy -0.119 Ry/atom. Number 8: calculated total energy -0.176 Ry/atom. Number 9: calculated total energy -0.164 Ry/atom. Number 10: calculated total energy -0.105 Ry/atom. Number 11: calculated total energy -0.138 Ry/atom. Number 12: calculated total energy -0.109 Ry/atom.